## Tl2BiS (PBE-GGA)

Data for a relaxed structure of Tl2BiS.

Structure (POSCAR):
```
Tl2BiS
1.0
0.000 3.815 3.815
3.815 0.000 3.815
3.815 3.815 0.000
Tl Bi S
2 1 1
direct
0.250 0.250 0.250
0.750 0.750 0.750
0.000 0.000 0.000
0.500 0.500 0.500
```

## Properties
DOS(E_F) = 2.60 states/eV/cell
relative energy among the computed polymorphs = 118 meV per atom
mass density = 9.7 Mg/m³
SG = No. 225
raw total energy = -3.071 eV/atom
raw formation energy = 0.11 eV/atom